1.
Here is Ac5Pm2Nd3 after structural relaxation from the Alexandria database. Energies are from PBE-GGA.

The structure belongs to space group P-1 (No. 2); the cell edges are 5.391, 6.638 and 12.192 Å and the angles 90.01°, 90.07° and 113.94°. Symmetry generates all atoms from Ac at (0.000, 0.000, 0.000), Ac at (0.103, 0.206, 0.295), Ac at (0.195, 0.390, 0.603), Pm at (0.296, 0.592, 0.905), Nd at (0.400, 0.801, 0.195) and Nd at (0.500, 0.000, 0.500).

For the energy of formation from the pure elements, the calculation gives 0.039 eV per atom. The calculation puts the spin magnetization at 0.0 μB/cell. As for the total DFT energy (no corrections): -4.395 eV/atom.



2.
Here is AcPm3Nd after structural relaxation from the Alexandria database. Energies are from PBE-GGA.

The structure belongs to space group P2_1/m (No. 11); the cell edges are 6.004, 7.294 and 8.979 Å and the angles 90.00°, 109.45° and 90.00°. Symmetry generates all atoms from Ac at (0.110, 0.250, 0.221), Pm at (0.120, 0.750, 0.241), Pm at (0.308, 0.002, 0.617) and Nd at (0.496, 0.250, 0.991).

For the energy of formation from the pure elements, the calculation gives 0.118 eV per atom. The calculation puts the spin magnetization at 0.0 μB/cell. As for the total DFT energy (no corrections): -4.508 eV/atom.



3.
Here is AcPm4Nd5 after structural relaxation from the Alexandria database. Energies are from PBE-GGA.

The structure belongs to space group C2/m (No. 12); the cell edges are 26.388, 3.712 and 7.392 Å and the angles 90.00°, 98.14° and 90.00°. Symmetry generates all atoms from Ac at (0.000, 0.000, 0.000), Pm at (0.102, 0.500, 0.305), Pm at (0.201, 0.000, 0.101), Nd at (0.000, 0.000, 0.500), Nd at (0.103, 0.500, 0.798) and Nd at (0.201, 0.000, 0.600).

For the energy of formation from the pure elements, the calculation gives 0.021 eV per atom. The calculation puts the spin magnetization at 0.0 μB/cell. As for the total DFT energy (no corrections): -4.674 eV/atom.



4.
Here is Ac7PmNd12 after structural relaxation from the Alexandria database. Energies are from PBE-GGA.

The structure belongs to space group Im-3 (No. 204); the cell edges are 12.181, 12.181 and 12.181 Å and the angles 90.00°, 90.00° and 90.00°. Symmetry generates all atoms from Ac at (0.000, 0.000, 0.500), Ac at (0.250, 0.250, 0.250), Pm at (0.000, 0.000, 0.000) and Nd at (0.000, 0.243, 0.325).

For the energy of formation from the pure elements, the calculation gives 0.781 eV per atom. The calculation puts the spin magnetization at 0.0 μB/cell. As for the total DFT energy (no corrections): -3.755 eV/atom.



5.
Here is Ac5Pm4Nd after structural relaxation from the Alexandria database. Energies are from PBE-GGA.

The structure belongs to space group P4/mmm (No. 123); the cell edges are 3.888, 3.888 and 26.094 Å and the angles 90.00°, 90.00° and 90.00°. Symmetry generates all atoms from Ac at (0.000, 0.000, 0.000), Ac at (0.000, 0.000, 0.200), Ac at (0.000, 0.000, 0.399), Pm at (0.500, 0.500, 0.100), Pm at (0.500, 0.500, 0.299) and Nd at (0.500, 0.500, 0.500).

For the energy of formation from the pure elements, the calculation gives 0.032 eV per atom. The calculation puts the spin magnetization at 0.0 μB/cell. As for the total DFT energy (no corrections): -4.400 eV/atom.



6.
Here is Ac8Pm2Nd3 after structural relaxation from the Alexandria database. Energies are from PBE-GGA.

The structure belongs to space group C2/m (No. 12); the cell edges are 14.076, 12.648 and 6.563 Å and the angles 90.00°, 112.39° and 90.00°. Symmetry generates all atoms from Ac at (0.064, 0.000, 0.296), Ac at (0.145, 0.500, 0.578), Ac at (0.163, 0.257, 0.156), Pm at (0.203, 0.000, 0.859), Nd at (0.000, 0.244, 0.500) and Nd at (0.000, 0.500, 0.000).

For the energy of formation from the pure elements, the calculation gives 0.172 eV per atom. The calculation puts the spin magnetization at 0.0 μB/cell. As for the total DFT energy (no corrections): -4.187 eV/atom.



7.
Here is Ac2Pm2Nd7 after structural relaxation from the Alexandria database. Energies are from PBE-GGA.

The structure belongs to space group C2/m (No. 12); the cell edges are 11.601, 12.131 and 6.294 Å and the angles 90.00°, 112.08° and 90.00°. Symmetry generates all atoms from Ac at (0.226, 0.000, 0.089), Pm at (0.000, 0.230, 0.000), Nd at (0.000, 0.000, 0.500), Nd at (0.083, 0.500, 0.302) and Nd at (0.173, 0.235, 0.667).

For the energy of formation from the pure elements, the calculation gives 0.148 eV per atom. The calculation puts the spin magnetization at 0.0 μB/cell. As for the total DFT energy (no corrections): -4.496 eV/atom.



8.
Here is Ac2Pm3Nd4 after structural relaxation from the Alexandria database. Energies are from PBE-GGA.

The structure belongs to space group P3m1 (No. 156); the cell edges are 3.7533, 3.7533 and 27.7720 Å and the angles 90.00°, 90.00° and 120.00°. Symmetry generates all atoms from Ac at (0.0000, 0.0000, 0.0000), Ac at (0.0000, 0.0000, 0.2247), Pm at (0.0000, 0.0000, 0.7805), Pm at (0.3333, 0.6667, 0.1142), Pm at (0.3333, 0.6667, 0.4586), Nd at (0.0000, 0.0000, 0.3558), Nd at (0.0000, 0.0000, 0.5674), Nd at (0.3333, 0.6667, 0.6731) and Nd at (0.3333, 0.6667, 0.8859).

For the energy of formation from the pure elements, the calculation gives 0.076 eV per atom. The calculation puts the spin magnetization at 0.0 μB/cell. As for the total DFT energy (no corrections): -4.539 eV/atom.